Entry 1:
Computed, not measured: a geometry-optimized Pm3Sm2Ho6Er structure at the PBE-GGA level of DFT.

Unit cell a=6.1900 b=6.1900 c=11.7914 alpha=95.00 beta=95.00 gamma=119.98
Fractional positions:
Pm 0.0000 0.0000 0.0000
Pm 0.3333 0.6667 0.0000
Pm 0.6667 0.3333 0.0000
Sm 0.1665 0.8335 0.5000
Sm 0.8335 0.1665 0.5000
Ho 0.0842 0.4171 0.2516
Ho 0.2502 0.2502 0.7487
Ho 0.4171 0.0842 0.2516
Ho 0.5829 0.9158 0.7484
Ho 0.7498 0.7498 0.2513
Ho 0.9158 0.5829 0.7484
Er 0.5000 0.5000 0.5000

Summary:
Volume (Å³/atom): 32.11
Formation energy (eV per atom): 0.02
Magnetization (μB/atom): 0.00

---

Entry 2:
Computed, not measured: a geometry-optimized TbY3Er2Se6 structure at the PBE-GGA level of DFT.

Unit cell a=7.0536 b=7.0536 c=7.0672 alpha=99.53 beta=99.53 gamma=120.33
Fractional positions:
Tb 0.0000 0.0000 0.0000
Y 0.1638 0.8362 0.5000
Y 0.5000 0.5000 0.5000
Y 0.8362 0.1638 0.5000
Er 0.3339 0.6661 0.0000
Er 0.6661 0.3339 0.0000
Se 0.0823 0.4198 0.2477
Se 0.2552 0.2552 0.7542
Se 0.4198 0.0823 0.2477
Se 0.5802 0.9177 0.7523
Se 0.7448 0.7448 0.2458
Se 0.9177 0.5802 0.7523

Summary:
Volume (Å³/atom): 23.85
Magnetization (μB/atom): 0.00
Raw formation energy (eV per formula unit): -20.93

---

Entry 3:
Computed, not measured: a geometry-optimized BaHf2SiCl structure at the PBE-GGA level of DFT.

Unit cell a=4.9934 b=4.9934 c=6.8898 alpha=90.00 beta=90.00 gamma=90.00
Fractional positions:
Ba 0.0000 0.0000 0.0000
Hf 0.0000 0.5000 0.5000
Hf 0.5000 0.0000 0.5000
Si 0.0000 0.0000 0.5000
Cl 0.5000 0.5000 0.0000

Summary:
Volume (Å³/atom): 34.36
Magnetization (μB/atom): 0.57
Raw formation energy (eV per formula unit): 0.91

---

Entry 4:
Computed, not measured: a geometry-optimized PmGa8Rh2 structure at the PBE-GGA level of DFT.

Unit cell a=6.3584 b=6.3584 c=5.3034 alpha=90.00 beta=90.00 gamma=90.00
Fractional positions:
Pm 0.0000 0.0000 0.0000
Ga 0.2941 0.2941 0.2503
Ga 0.2941 0.2941 0.7497
Ga 0.2941 0.7059 0.2503
Ga 0.2941 0.7059 0.7497
Ga 0.7059 0.2941 0.2503
Ga 0.7059 0.2941 0.7497
Ga 0.7059 0.7059 0.2503
Ga 0.7059 0.7059 0.7497
Rh 0.0000 0.5000 0.5000
Rh 0.5000 0.0000 0.5000

Summary:
Volume (Å³/atom): 19.49
Formation energy (eV per atom): -0.26
Magnetization (μB/atom): 0.00

---

Entry 5:
Computed, not measured: a geometry-optimized Tl3Ag3HgI8 structure at the PBE-GGA level of DFT.

Unit cell a=9.0215 b=9.0215 c=9.5703 alpha=118.04 beta=118.04 gamma=59.62
Fractional positions:
Tl 0.0000 0.0000 0.0000
Tl 0.0000 0.5000 0.0000
Tl 0.5000 0.0000 0.0000
Ag 0.0000 0.5000 0.5000
Ag 0.5000 0.0000 0.5000
Ag 0.5000 0.5000 0.5000
Hg 0.0000 0.0000 0.5000
I 0.2371 0.2371 0.7070
I 0.2374 0.7356 0.7074
I 0.2628 0.2628 0.2913
I 0.2644 0.7626 0.2926
I 0.7356 0.2374 0.7074
I 0.7372 0.7372 0.7087
I 0.7626 0.2644 0.2926
I 0.7629 0.7629 0.2930

Summary:
Volume (Å³/atom): 37.65
Magnetization (μB/atom): 0.00
Raw formation energy (eV per formula unit): -5.48

---

Entry 6:
Computed, not measured: a geometry-optimized SrTl4Pb4 structure at the PBE-GGA level of DFT.

Unit cell a=8.3586 b=8.3586 c=8.3586 alpha=93.97 beta=93.97 gamma=149.51
Fractional positions:
Sr 0.0000 0.0000 0.0000
Tl 0.3271 0.3271 0.6542
Tl 0.3271 0.6729 0.0000
Tl 0.6729 0.3271 0.0000
Tl 0.6729 0.6729 0.3458
Pb 0.0000 0.3402 0.3402
Pb 0.0000 0.6598 0.6598
Pb 0.3402 0.0000 0.3402
Pb 0.6598 0.0000 0.6598

Summary:
Volume (Å³/atom): 31.77
Formation energy (eV per atom): -0.11
Magnetization (μB/atom): 0.00

---

Entry 7:
Computed, not measured: a geometry-optimized Th2MgPd4 structure at the PBE-GGA level of DFT.

Unit cell a=4.7547 b=4.7547 c=8.2674 alpha=110.48 beta=110.48 gamma=77.32
Fractional positions:
Th 0.1402 0.1402 0.2807
Th 0.8598 0.8598 0.7193
Mg 0.5000 0.5000 0.0000
Pd 0.0000 0.5000 0.0000
Pd 0.3276 0.3276 0.6555
Pd 0.5000 0.0000 0.0000
Pd 0.6724 0.6724 0.3445

Summary:
Volume (Å³/atom): 23.29
Formation energy (eV per atom): -0.38
Magnetization (μB/atom): 0.00

---

Entry 8:
Computed, not measured: a geometry-optimized La2CdPb structure at the PBE-GGA level of DFT.

Unit cell a=3.7060 b=3.7060 c=9.4281 alpha=90.00 beta=90.00 gamma=90.00
Fractional positions:
La 0.0000 0.0000 0.0000
La 0.5000 0.5000 0.3156
Cd 0.5000 0.5000 0.7710
Pb 0.0000 0.0000 0.5688

Summary:
Volume (Å³/atom): 32.37
Formation energy (eV per atom): -0.18
Magnetization (μB/atom): 0.00

---

Entry 9:
Computed, not measured: a geometry-optimized LaMnIn structure at the PBE-GGA level of DFT.

Unit cell a=5.0653 b=5.0653 c=5.0653 alpha=60.00 beta=60.00 gamma=60.00
Fractional positions:
La 0.0000 0.0000 0.0000
Mn 0.5000 0.5000 0.5000
In 0.7500 0.7500 0.7500

Summary:
Volume (Å³/atom): 30.63
Formation energy (eV per atom): 0.24
Magnetization (μB/atom): 1.60

---

Entry 10:
Computed, not measured: a geometry-optimized Ba2NaPb structure at the PBE-GGA level of DFT.

Unit cell a=14.0093 b=14.0093 c=14.0093 alpha=16.77 beta=16.77 gamma=16.77
Fractional positions:
Ba 0.0849 0.0849 0.0849
Ba 0.9151 0.9151 0.9151
Na 0.5000 0.5000 0.5000
Pb 0.0000 0.0000 0.0000

Summary:
Volume (Å³/atom): 49.94
Formation energy (eV per atom): 0.18
Magnetization (μB/atom): 0.00

---

Entry 11:
Computed, not measured: a geometry-optimized LiHf2Cr structure at the PBE-GGA level of DFT.

Unit cell a=7.3174 b=7.3174 c=7.3174 alpha=120.27 beta=120.27 gamma=89.54
Fractional positions:
Li 0.3750 0.6250 0.7500
Li 0.6250 0.3750 0.2500
Hf 0.0000 0.0000 0.0000
Hf 0.0000 0.0000 0.5000
Hf 0.0000 0.5000 0.0000
Hf 0.5000 0.0000 0.5000
Cr 0.1250 0.8750 0.2500
Cr 0.8750 0.1250 0.7500

Summary:
Volume (Å³/atom): 34.49
Formation energy (eV per atom): 1.52
Magnetization (μB/atom): 0.00

---

Entry 12:
Computed, not measured: a geometry-optimized ScRe2Ni structure at the PBE-GGA level of DFT.

Unit cell a=5.3112 b=5.3112 c=5.3112 alpha=146.52 beta=131.58 gamma=60.15
Fractional positions:
Sc 0.0000 0.0000 0.0000
Re 0.2620 0.7620 0.5000
Re 0.7380 0.2380 0.5000
Ni 0.5000 0.5000 0.0000

Summary:
Volume (Å³/atom): 15.31
Formation energy (eV per atom): 0.02
Magnetization (μB/atom): 0.00
Energy relative to the lowest polymorph listed for this composition (eV/atom): 0.0983

---

Entry 13:
Computed, not measured: a geometry-optimized BeSe2O5 structure at the PBE-GGA level of DFT.

Unit cell a=5.1333 b=5.1754 c=5.5593 alpha=96.59 beta=104.82 gamma=119.53
Fractional positions:
Be 0.0000 0.0000 0.0000
Se 0.5273 0.7330 0.4517
Se 0.6461 0.3255 0.9575
O 0.2949 0.5636 0.6118
O 0.3923 0.2786 0.1343
O 0.8107 0.1379 0.0985
O 0.9046 0.9155 0.6755
O 0.9497 0.7069 0.1110

Summary:
Volume (Å³/atom): 14.88
Magnetization (μB/atom): 0.00
Raw formation energy (eV per formula unit): -9.30

---

Entry 14:
Computed, not measured: a geometry-optimized Dy2ErPd2 structure at the PBE-GGA level of DFT.

Unit cell a=7.7645 b=7.7645 c=3.9563 alpha=90.00 beta=90.00 gamma=90.00
Fractional positions:
Dy 0.1655 0.3345 0.0000
Dy 0.3345 0.8345 0.0000
Dy 0.6655 0.1655 0.0000
Dy 0.8345 0.6655 0.0000
Er 0.0000 0.0000 0.5000
Er 0.5000 0.5000 0.5000
Pd 0.1331 0.6331 0.5000
Pd 0.3669 0.1331 0.5000
Pd 0.6331 0.8669 0.5000
Pd 0.8669 0.3669 0.5000

Summary:
Volume (Å³/atom): 23.85
Formation energy (eV per atom): -0.74
Magnetization (μB/atom): 0.00

---

Entry 15:
Computed, not measured: a geometry-optimized YScInSn structure at the PBE-GGA level of DFT.

Unit cell a=5.2064 b=5.2064 c=5.2064 alpha=60.00 beta=60.00 gamma=60.00
Fractional positions:
Y 0.0000 0.0000 0.0000
Sc 0.5000 0.5000 0.5000
In 0.2500 0.2500 0.2500
Sn 0.7500 0.7500 0.7500

Summary:
Volume (Å³/atom): 24.95
Formation energy (eV per atom): -0.46
Magnetization (μB/atom): 0.00

---

Entry 16:
Computed, not measured: a geometry-optimized Sb2PdO6 structure at the PBE-GGA level of DFT.

Unit cell a=9.0858 b=9.0858 c=4.6111 alpha=90.00 beta=90.00 gamma=120.00
Fractional positions:
Sb 0.0000 0.3510 0.0000
Sb 0.0000 0.6849 0.5000
Sb 0.3151 0.3151 0.5000
Sb 0.3510 0.0000 0.0000
Sb 0.6490 0.6490 0.0000
Sb 0.6849 0.0000 0.5000
Pd 0.0000 0.0000 0.0000
Pd 0.3333 0.6667 0.4962
Pd 0.6667 0.3333 0.5038
O 0.1025 0.5654 0.2526
O 0.1080 0.2322 0.2390
O 0.1243 0.8920 0.2390
O 0.2153 0.4352 0.7394
O 0.2200 0.7847 0.7394
O 0.2322 0.1080 0.7610
O 0.4352 0.2153 0.2606
O 0.4346 0.5371 0.2526
O 0.4629 0.8975 0.2526
O 0.5371 0.4346 0.7474
O 0.5654 0.1025 0.7474
O 0.5648 0.7800 0.7394
O 0.7678 0.8757 0.2390
O 0.7800 0.5648 0.2606
O 0.7847 0.2200 0.2606
O 0.8757 0.7678 0.7610
O 0.8920 0.1243 0.7610
O 0.8975 0.4629 0.7474

Summary:
Volume (Å³/atom): 12.21
Magnetization (μB/atom): 0.17
Raw formation energy (eV per formula unit): -8.83

---

Entry 17:
Computed, not measured: a geometry-optimized Pa5Ni3H12 structure at the PBE-GGA level of DFT.

Unit cell a=10.2567 b=10.2567 c=10.2567 alpha=109.47 beta=109.47 gamma=109.47
Fractional positions:
Pa 0.0000 0.0000 0.0000
Pa 0.0000 0.0000 0.5000
Pa 0.0000 0.5000 0.0000
Pa 0.0000 0.5000 0.5000
Pa 0.1250 0.7500 0.8750
Pa 0.1250 0.8750 0.2500
Pa 0.2500 0.1250 0.8750
Pa 0.2500 0.6250 0.3750
Pa 0.3750 0.2500 0.6250
Pa 0.3750 0.6250 0.7500
Pa 0.5000 0.0000 0.0000
Pa 0.5000 0.0000 0.5000
Pa 0.5000 0.5000 0.0000
Pa 0.5000 0.5000 0.5000
Pa 0.6250 0.3750 0.2500
Pa 0.6250 0.7500 0.3750
Pa 0.7500 0.3750 0.6250
Pa 0.7500 0.8750 0.1250
Pa 0.8750 0.1250 0.7500
Pa 0.8750 0.2500 0.1250
Ni 0.1250 0.2500 0.3750
Ni 0.1250 0.3750 0.7500
Ni 0.2500 0.3750 0.1250
Ni 0.2500 0.8750 0.6250
Ni 0.3750 0.1250 0.2500
Ni 0.3750 0.7500 0.1250
Ni 0.6250 0.2500 0.8750
Ni 0.6250 0.8750 0.7500
Ni 0.7500 0.1250 0.3750
Ni 0.7500 0.6250 0.8750
Ni 0.8750 0.6250 0.2500
Ni 0.8750 0.7500 0.6250
H 0.0319 0.6312 0.3700
H 0.0319 0.9007 0.6619
H 0.0993 0.2612 0.1312
H 0.0993 0.3381 0.9681
H 0.1300 0.7612 0.6619
H 0.1300 0.8688 0.4681
H 0.1312 0.0993 0.2612
H 0.1312 0.5319 0.8700
H 0.1619 0.2612 0.6300
H 0.1619 0.4007 0.5319
H 0.2388 0.3381 0.8700
H 0.2388 0.4007 0.3688
H 0.2612 0.1312 0.0993
H 0.2612 0.6300 0.1619
H 0.3381 0.8700 0.2388
H 0.3381 0.9681 0.0993
H 0.3688 0.2388 0.4007
H 0.3688 0.6300 0.9681
H 0.3700 0.0319 0.6312
H 0.3700 0.8381 0.7388
H 0.4007 0.3688 0.2388
H 0.4007 0.5319 0.1619
H 0.4681 0.1300 0.8688
H 0.4681 0.8381 0.5993
H 0.5319 0.1619 0.4007
H 0.5319 0.8700 0.1312
H 0.5993 0.4681 0.8381
H 0.5993 0.6312 0.7612
H 0.6300 0.1619 0.2612
H 0.6300 0.9681 0.3688
H 0.6312 0.3700 0.0319
H 0.6312 0.7612 0.5993
H 0.6619 0.0319 0.9007
H 0.6619 0.1300 0.7612
H 0.7388 0.3700 0.8381
H 0.7388 0.8688 0.9007
H 0.7612 0.5993 0.6312
H 0.7612 0.6619 0.1300
H 0.8381 0.5993 0.4681
H 0.8381 0.7388 0.3700
H 0.8688 0.4681 0.1300
H 0.8688 0.9007 0.7388
H 0.8700 0.1312 0.5319
H 0.8700 0.2388 0.3381
H 0.9007 0.6619 0.0319
H 0.9007 0.7388 0.8688
H 0.9681 0.0993 0.3381
H 0.9681 0.3688 0.6300

Summary:
Volume (Å³/atom): 10.38
Magnetization (μB/atom): 0.00
Raw total energy (eV/atom): -5.17

---

Entry 18:
Computed, not measured: a geometry-optimized Tb3TmPd3 structure at the PBE-GGA level of DFT.

Unit cell a=6.9588 b=6.9588 c=7.1065 alpha=91.50 beta=91.50 gamma=97.33
Fractional positions:
Tb 0.1759 0.8241 0.0000
Tb 0.2527 0.7473 0.5000
Tb 0.3479 0.3479 0.1339
Tb 0.6521 0.6521 0.8661
Tb 0.7473 0.2527 0.5000
Tb 0.8241 0.1759 0.0000
Tm 0.2591 0.2591 0.6244
Tm 0.7409 0.7409 0.3756
Pd 0.0187 0.5000 0.7805
Pd 0.0624 0.0624 0.3101
Pd 0.5000 0.0187 0.7805
Pd 0.5000 0.9813 0.2195
Pd 0.9376 0.9376 0.6899
Pd 0.9813 0.5000 0.2195

Summary:
Volume (Å³/atom): 24.36
Formation energy (eV per atom): -0.70
Magnetization (μB/atom): 0.00

---

Entry 19:
Computed, not measured: a geometry-optimized PSF structure at the PBE-GGA level of DFT.

Unit cell a=12.4342 b=3.3204 c=5.4202 alpha=90.00 beta=90.00 gamma=90.00
Fractional positions:
P 0.1530 0.2500 0.0277
P 0.3470 0.7500 0.5277
P 0.6530 0.2500 0.4723
P 0.8470 0.7500 0.9723
S 0.1936 0.7500 0.3224
S 0.3064 0.2500 0.8224
S 0.6936 0.7500 0.1776
S 0.8064 0.2500 0.6776
F 0.1033 0.7500 0.8261
F 0.3967 0.2500 0.3261
F 0.6033 0.7500 0.6739
F 0.8967 0.2500 0.1739

Summary:
Volume (Å³/atom): 18.65
Magnetization (μB/atom): 0.00
Energy relative to the lowest polymorph listed for this composition (eV/atom): 0.3243
Raw formation energy (eV per formula unit): -1.95

---

Entry 20:
Computed, not measured: a geometry-optimized Be2TlPb2O6 structure at the PBE-GGA level of DFT.

Unit cell a=5.2865 b=5.2865 c=7.6508 alpha=90.00 beta=90.00 gamma=120.00
Fractional positions:
Be 0.3333 0.6667 0.3292
Be 0.6667 0.3333 0.6708
Tl 0.0000 0.0000 0.5000
Pb 0.3333 0.6667 0.8151
Pb 0.6667 0.3333 0.1849
O 0.0476 0.6810 0.3217
O 0.3190 0.3666 0.3217
O 0.3666 0.0476 0.6783
O 0.6334 0.9524 0.3217
O 0.6810 0.6334 0.6783
O 0.9524 0.3190 0.6783

Summary:
Volume (Å³/atom): 16.83
Magnetization (μB/atom): 0.00
Raw formation energy (eV per formula unit): -15.18